No. 1
The following is a DFT calculation (PBE) of an optimized crystal structure of InGaCu.

Unit cell a=3.0288 b=6.1342 c=6.7791 alpha=89.96 beta=116.80 gamma=89.99
Closest atoms and distances in Å follow each position.
Sites, in units of the cell vectors:
In: 0.1732 0.5524 0.3812  4 Cu 2.83, 3 In 2.87-3.03, 2 Ga 3.07
In: 0.7047 0.5515 0.9076  4 Cu 2.83, 3 In 2.87-3.03, 2 Ga 3.07
Cu: 0.9390 0.2615 0.6446  1 Cu 2.57, 4 Ga 2.63-2.64, 4 In 2.83
Cu: 0.9387 0.8425 0.6443  1 Cu 2.57, 4 Ga 2.63, 4 In 2.83
Ga: 0.7287 0.0514 0.9298  1 Ga 2.60, 4 Cu 2.63-2.64
Ga: 0.1493 0.0525 0.3590  1 Ga 2.60, 4 Cu 2.63

Values from the calculation:
Energy relative to the elements = -1 kJ per mole of atoms
DOS(E_F) = 1.76 states/eV per cell
Spin magnetization = 0.00 μB per formula unit

=====

No. 2
The following is a DFT calculation (PBE) of an optimized crystal structure of SrMg14Mn.

Unit cell a=6.5243 b=6.5243 c=10.4149 alpha=90.00 beta=90.00 gamma=120.00
Closest atoms and distances in Å follow each position.
Sites, in units of the cell vectors:
Mg: 0.6667 0.3333 0.2601  12 Mg 3.18-3.28
Mg: 0.5036 0.0073 0.0000  10 Mg 3.07-3.33, 2 Mn 3.26
Mg: 0.6687 0.8343 0.7691  1 Mn 3.05, 10 Mg 3.07-3.36, 1 Sr 3.37
Mg: 0.0138 0.5069 0.5000  10 Mg 3.13-3.40, 2 Sr 3.26
Mg: 0.1657 0.3313 0.2309  1 Mn 3.05, 10 Mg 3.07-3.36, 1 Sr 3.37
Mg: 0.1657 0.8343 0.7691  1 Mn 3.05, 10 Mg 3.07-3.36, 1 Sr 3.37
Mg: 0.1657 0.8343 0.2309  1 Mn 3.05, 10 Mg 3.07-3.36, 1 Sr 3.37
Mg: 0.4931 0.5069 0.5000  10 Mg 3.13-3.40, 2 Sr 3.26
Mg: 0.6667 0.3333 0.7399  12 Mg 3.18-3.28
Mg: 0.1657 0.3313 0.7691  1 Mn 3.05, 10 Mg 3.07-3.36, 1 Sr 3.37
Mg: 0.5036 0.4964 0.0000  10 Mg 3.07-3.33, 2 Mn 3.26
Mg: 0.6687 0.8343 0.2309  1 Mn 3.05, 10 Mg 3.07-3.36, 1 Sr 3.37
Mg: 0.4931 0.9862 0.5000  10 Mg 3.13-3.40, 2 Sr 3.26
Mg: 0.9927 0.4964 0.0000  10 Mg 3.07-3.33, 2 Mn 3.26
Mn: 0.0000 0.0000 0.0000  12 Mg 3.05-3.26
Sr: 0.0000 0.0000 0.5000  12 Mg 3.26-3.37

Values from the calculation:
Energy relative to the elements = 9 kJ per mole of atoms
DOS(E_F) = 8.11 states/eV per cell
Spin magnetization = 3.89 μB per formula unit

=====

No. 3
The following is a DFT calculation (PBE) of an optimized crystal structure of RbInC3.

Unit cell a=4.5764 b=4.5764 c=4.5764 alpha=90.00 beta=90.00 gamma=90.00
Closest atoms and distances in Å follow each position.
Sites, in units of the cell vectors:
C: 0.5000 0.0000 0.0000  2 In 2.29
C: 0.0000 0.0000 0.5000  2 In 2.29
C: 0.0000 0.5000 0.0000  2 In 2.29
Rb: 0.5000 0.5000 0.5000  12 C 3.24
In: 0.0000 0.0000 0.0000  6 C 2.29

Values from the calculation:
Energy relative to the elements = 271 kJ per mole of atoms
Energy above the most stable polymorph in this dataset = 0.00 eV/f.u.
DOS(E_F) = 4.94 states/eV per cell
Spin magnetization = 0.00 μB per formula unit